No. 1
FePBr2: optimized geometry, PBE.

Lattice parameters (Å, degrees): 6.9236 6.9236 6.9236 95.33 95.33 144.50
Fractional positions:
1 Fe 0.0000 0.0000 0.0000
2 Fe 0.7500 0.2500 0.5000
3 P 0.2500 0.7500 0.5000
4 P 0.5000 0.5000 0.0000
5 Br 0.3750 0.2131 0.3381
6 Br 0.7869 0.1250 0.1619
7 Br 0.8750 0.0369 0.6619
8 Br 0.9631 0.6250 0.8381

Values from the calculation:
Relative energy among the computed polymorphs in meV/atom: 204

---

No. 2
LaMo2Au: optimized geometry, PBE.

Lattice parameters (Å, degrees): 5.4731 5.4731 5.4731 135.07 135.07 65.43
Fractional positions:
1 La 0.0000 0.0000 0.0000
2 Mo 0.2500 0.7500 0.5000
3 Mo 0.7500 0.2500 0.5000
4 Au 0.5000 0.5000 0.0000

Values from the calculation:
Relative energy among the computed polymorphs in meV/atom: 489
ΔE_f in eV per atom: 0.579

---

No. 3
NbNiS2N: optimized geometry, PBE.

Lattice parameters (Å, degrees): 4.5837 4.5837 3.4160 90.00 90.00 90.00
Fractional positions:
1 Nb 0.0000 0.0000 0.0000
2 Ni 0.5000 0.5000 0.5000
3 S 0.0000 0.5000 0.5000
4 S 0.5000 0.0000 0.5000
5 N 0.5000 0.5000 0.0000

Values from the calculation:
Relative energy among the computed polymorphs in meV/atom: 90

---

No. 4
La4ReRh: optimized geometry, PBE.

Lattice parameters (Å, degrees): 6.0594 6.0594 6.0594 60.00 60.00 60.00
Fractional positions:
1 La 0.1245 0.1245 0.1245
2 La 0.1245 0.1245 0.6264
3 La 0.1245 0.6264 0.1245
4 La 0.6264 0.1245 0.1245
5 Re 0.7500 0.7500 0.7500
6 Rh 0.5000 0.5000 0.5000

Values from the calculation:
ΔE_f in eV per atom: 1.005